# NdGePt2

Crystalline NdGePt2 at its relaxed geometry (PBE, the Open Quantum Materials Database).

a b c (Å): 4.1971 6.6331 5.7726
angles (deg): 90.00 90.00 90.00
Closest atoms and distances in Å follow each position.
Sites, in units of the cell vectors:
Nd1 0.0000 0.0825 0.0000  7 Pt 2.99-3.27, 2 Ge 3.29
Nd2 0.5000 0.9175 0.5000  7 Pt 2.99-3.27, 2 Ge 3.29
Ge1 0.0000 0.6072 0.2425  6 Pt 2.61-2.78
Ge2 0.5000 0.3928 0.7425  6 Pt 2.61-2.78
Pt1 0.0000 0.2626 0.5175  3 Ge 2.61-2.78, 3 Pt 2.78-2.85
Pt2 0.0000 0.6561 0.7145  3 Ge 2.73-2.74, 3 Pt 2.78-2.85, 2 Nd 2.99
Pt3 0.5000 0.3439 0.2145  3 Ge 2.73-2.74, 3 Pt 2.78-2.85, 2 Nd 2.99
Pt4 0.5000 0.7374 0.0175  3 Ge 2.61-2.78, 3 Pt 2.78-2.85

total DFT energy (no corrections): -6.2123 eV/atom
total magnetic moment: 0.01 μB per formula unit
SG: No. 31

---

# Sr2AgP2Au

Crystalline Sr2AgP2Au at its relaxed geometry (PBE, the Open Quantum Materials Database).

a b c (Å): 4.4019 4.4019 8.4823
angles (deg): 90.00 90.00 120.00
Closest atoms and distances in Å follow each position.
Sites, in units of the cell vectors:
Sr1 0.0000 0.0000 0.2497  6 P 3.31, 3 Ag 3.31, 3 Au 3.31
Sr2 0.0000 0.0000 0.7503  6 P 3.31, 3 Ag 3.31, 3 Au 3.31
Ag1 0.6667 0.3333 0.0000  3 P 2.54
P1 0.3333 0.6667 0.0000  3 Ag 2.54
P2 0.6667 0.3333 0.5000  3 Au 2.54
Au1 0.3333 0.6667 0.5000  3 P 2.54

total DFT energy (no corrections): -4.2159 eV/atom
SG: No. 187

---

# ZrZnFeAu

Crystalline ZrZnFeAu at its relaxed geometry (PBE, the Open Quantum Materials Database).

a b c (Å): 4.5806 4.5806 4.5806
angles (deg): 60.00 60.00 60.00
Closest atoms and distances in Å follow each position.
Sites, in units of the cell vectors:
Zr1 0.0000 0.0000 0.0000  4 Zn 2.81, 4 Au 2.81
Zn1 0.2500 0.2500 0.2500  4 Fe 2.81, 4 Zr 2.81
Fe1 0.5000 0.5000 0.5000  4 Au 2.81, 4 Zn 2.81
Au1 0.7500 0.7500 0.7500  4 Fe 2.81, 4 Zr 2.81

energy above the lowest structure with this stoichiometry: 0.0344 eV/atom
total DFT energy (no corrections): -5.4550 eV/atom
calculated formation energy: -0.4 eV/f.u.
total magnetic moment: 2.84 μB per formula unit
SG: No. 216

---

# PmReBi

Crystalline PmReBi at its relaxed geometry (PBE, the Open Quantum Materials Database).

a b c (Å): 4.8715 4.8715 4.8715
angles (deg): 60.00 60.00 60.00
Closest atoms and distances in Å follow each position.
Sites, in units of the cell vectors:
Pm1 0.0000 0.0000 0.0000  4 Bi 2.98
Re1 0.5000 0.5000 0.5000  4 Bi 2.98
Bi1 0.2500 0.2500 0.2500  4 Re 2.98, 4 Pm 2.98

total DFT energy (no corrections): -6.2616 eV/atom
total magnetic moment: 1.48 μB per formula unit
SG: No. 216

---

# Pr3Co4Sn13

Crystalline Pr3Co4Sn13 at its relaxed geometry (PBE, the Open Quantum Materials Database).

a b c (Å): 9.6577 9.6577 9.6577
angles (deg): 90.00 90.00 90.00
Closest atoms and distances in Å follow each position.
Sites, in units of the cell vectors:
Pr1 0.0000 0.2500 0.5000  12 Sn 3.34-3.44, 4 Co 3.41
Pr2 0.0000 0.7500 0.5000  12 Sn 3.34-3.44, 4 Co 3.41
Pr3 0.2500 0.5000 0.0000  12 Sn 3.34-3.44, 4 Co 3.41
Pr4 0.5000 0.0000 0.2500  12 Sn 3.34-3.44, 4 Co 3.41
Pr5 0.5000 0.0000 0.7500  12 Sn 3.34-3.44, 4 Co 3.41
Pr6 0.7500 0.5000 0.0000  12 Sn 3.34-3.44, 4 Co 3.41
Co1 0.2500 0.2500 0.2500  6 Sn 2.62
Co2 0.2500 0.2500 0.7500  6 Sn 2.62
Co3 0.2500 0.7500 0.2500  6 Sn 2.62
Co4 0.2500 0.7500 0.7500  6 Sn 2.62
Co5 0.7500 0.2500 0.2500  6 Sn 2.62
Co6 0.7500 0.2500 0.7500  6 Sn 2.62
Co7 0.7500 0.7500 0.2500  6 Sn 2.62
Co8 0.7500 0.7500 0.7500  6 Sn 2.62
Sn1 0.0000 0.0000 0.0000  12 Sn 3.29
Sn2 0.0000 0.3021 0.1576  2 Co 2.62
Sn3 0.0000 0.3021 0.8424  2 Co 2.62
Sn4 0.0000 0.6979 0.1576  2 Co 2.62
Sn5 0.0000 0.6979 0.8424  2 Co 2.62
Sn6 0.1576 0.0000 0.3021  2 Co 2.62
Sn7 0.1576 0.0000 0.6979  2 Co 2.62
Sn8 0.1979 0.5000 0.3424  2 Co 2.62
Sn9 0.1979 0.5000 0.6576  2 Co 2.62
Sn10 0.3021 0.1576 0.0000  2 Co 2.62
Sn11 0.3021 0.8424 0.0000  2 Co 2.62
Sn12 0.3424 0.1979 0.5000  2 Co 2.62
Sn13 0.3424 0.8021 0.5000  2 Co 2.62
Sn14 0.5000 0.3424 0.1979  2 Co 2.62
Sn15 0.5000 0.3424 0.8021  2 Co 2.62
Sn16 0.5000 0.5000 0.5000  12 Sn 3.29
Sn17 0.5000 0.6576 0.1979  2 Co 2.62
Sn18 0.5000 0.6576 0.8021  2 Co 2.62
Sn19 0.6576 0.1979 0.5000  2 Co 2.62
Sn20 0.6576 0.8021 0.5000  2 Co 2.62
Sn21 0.6979 0.1576 0.0000  2 Co 2.62
Sn22 0.6979 0.8424 0.0000  2 Co 2.62
Sn23 0.8021 0.5000 0.3424  2 Co 2.62
Sn24 0.8021 0.5000 0.6576  2 Co 2.62
Sn25 0.8424 0.0000 0.3021  2 Co 2.62
Sn26 0.8424 0.0000 0.6979  2 Co 2.62

total DFT energy (no corrections): -5.1065 eV/atom
total magnetic moment: 0.00 μB per formula unit
SG: No. 223

---

# ScFeSn2

Crystalline ScFeSn2 at its relaxed geometry (PBE, the Open Quantum Materials Database).

a b c (Å): 4.8769 4.8769 4.8769
angles (deg): 60.00 60.00 60.00
Closest atoms and distances in Å follow each position.
Sites, in units of the cell vectors:
Sc1 0.0000 0.0000 0.0000  4 Sn 2.99, 4 Fe 2.99
Fe1 0.2500 0.2500 0.2500  4 Sn 2.99, 4 Sc 2.99
Sn1 0.5000 0.5000 0.5000  4 Fe 2.99, 4 Sn 2.99
Sn2 0.7500 0.7500 0.7500  4 Sn 2.99, 4 Sc 2.99

total DFT energy (no corrections): -5.5304 eV/atom
total magnetic moment: 1.20 μB per formula unit
SG: No. 216

---

# ScNiPt2

Crystalline ScNiPt2 at its relaxed geometry (PBE, the Open Quantum Materials Database).

a b c (Å): 4.4530 4.4530 4.4530
angles (deg): 60.00 60.00 60.00
Closest atoms and distances in Å follow each position.
Sites, in units of the cell vectors:
Sc1 0.0000 0.0000 0.0000  4 Ni 2.73, 4 Pt 2.73
Ni1 0.7500 0.7500 0.7500  4 Sc 2.73, 4 Pt 2.73
Pt1 0.2500 0.2500 0.2500  4 Sc 2.73, 4 Pt 2.73
Pt2 0.5000 0.5000 0.5000  4 Ni 2.73, 4 Pt 2.73

total DFT energy (no corrections): -6.6195 eV/atom
calculated formation energy: -2.5 eV/f.u.
total magnetic moment: 0.03 μB per formula unit
SG: No. 216

---

# Zr2As6Ir

Crystalline Zr2As6Ir at its relaxed geometry (PBE, the Open Quantum Materials Database).

a b c (Å): 5.5448 5.5448 8.5996
angles (deg): 118.81 118.81 50.96
Closest atoms and distances in Å follow each position.
Sites, in units of the cell vectors:
Zr1 0.2079 0.2079 0.3259  8 As 2.70-2.99
Zr2 0.7921 0.7921 0.6741  8 As 2.70-2.99
As1 0.1198 0.1030 0.9628  1 As 2.63, 2 Ir 2.70-2.74, 2 Zr 2.73-2.81
As2 0.1486 0.1477 0.6248  1 As 2.57, 2 Zr 2.70
As3 0.4806 0.4730 0.6886  1 Ir 2.56, 1 Zr 2.83
As4 0.5270 0.5194 0.3114  1 Ir 2.56, 1 Zr 2.83
As5 0.8523 0.8514 0.3752  1 As 2.57, 2 Zr 2.70
As6 0.8970 0.8802 0.0372  1 As 2.63, 2 Ir 2.70-2.74, 2 Zr 2.73-2.81
Ir1 0.5131 0.4869 0.0000  6 As 2.56-2.74

total DFT energy (no corrections): -6.2963 eV/atom
total magnetic moment: 0.01 μB per formula unit
SG: No. 5

---

# LiPaTc

Crystalline LiPaTc at its relaxed geometry (PBE, the Open Quantum Materials Database).

a b c (Å): 4.2211 4.2211 4.2211
angles (deg): 60.00 60.00 60.00
Closest atoms and distances in Å follow each position.
Sites, in units of the cell vectors:
Li1 0.0000 0.0000 0.0000  4 Tc 2.58, 4 Pa 2.58
Pa1 0.7500 0.7500 0.7500  4 Li 2.58
Tc1 0.2500 0.2500 0.2500  4 Li 2.58

total DFT energy (no corrections): -6.7723 eV/atom
total magnetic moment: 0.00 μB per formula unit
SG: No. 216

---

# TbTlIr

Crystalline TbTlIr at its relaxed geometry (PBE, the Open Quantum Materials Database).

a b c (Å): 4.7250 4.7250 4.7250
angles (deg): 60.00 60.00 60.00
Closest atoms and distances in Å follow each position.
Sites, in units of the cell vectors:
Tb1 0.0000 0.0000 0.0000  4 Tl 2.89
Tl1 0.7500 0.7500 0.7500  4 Tb 2.89, 4 Ir 2.89
Ir1 0.5000 0.5000 0.5000  4 Tl 2.89

total DFT energy (no corrections): -5.0771 eV/atom
total magnetic moment: 0.00 μB per formula unit
SG: No. 216

---

# Sm4GaCo4

Crystalline Sm4GaCo4 at its relaxed geometry (PBE, the Open Quantum Materials Database).

a b c (Å): 5.5291 5.5291 8.9755
angles (deg): 108.84 108.84 43.57
Closest atoms and distances in Å follow each position.
Sites, in units of the cell vectors:
Sm1 0.1095 0.1095 0.3846  7 Co 2.89-3.10, 1 Ga 3.24
Sm2 0.2457 0.2457 0.8391  6 Co 2.88-3.00
Sm3 0.7543 0.7543 0.1609  6 Co 2.88-3.00
Sm4 0.8905 0.8905 0.6154  7 Co 2.89-3.10, 1 Ga 3.24
Ga1 0.0000 0.0000 0.0000  4 Co 2.53
Co1 0.4096 0.4096 0.3798  2 Co 2.31-2.35
Co2 0.4629 0.4629 0.1457  1 Co 2.35, 2 Ga 2.53
Co3 0.5371 0.5371 0.8543  1 Co 2.35, 2 Ga 2.53
Co4 0.5904 0.5904 0.6202  2 Co 2.31-2.35

total DFT energy (no corrections): -5.8260 eV/atom
total magnetic moment: 0.10 μB per formula unit
SG: No. 12

---

# TbCu

Crystalline TbCu at its relaxed geometry (PBE, the Open Quantum Materials Database).

a b c (Å): 3.4478 3.4478 4.2019
angles (deg): 90.00 90.00 120.00
Closest atoms and distances in Å follow each position.
Sites, in units of the cell vectors:
Tb1 0.0000 0.0000 0.0000  6 Cu 2.89
Cu1 0.3333 0.6667 0.5000  6 Tb 2.89

total DFT energy (no corrections): -4.1230 eV/atom
calculated formation energy: 0.1 eV/f.u.
total magnetic moment: 0.00 μB per formula unit
SG: No. 187

---

# UMoOs

Crystalline UMoOs at its relaxed geometry (PBE, the Open Quantum Materials Database).

a b c (Å): 4.4427 4.4427 4.4427
angles (deg): 60.00 60.00 60.00
Closest atoms and distances in Å follow each position.
Sites, in units of the cell vectors:
U1 0.0000 0.0000 0.0000  4 Os 2.72
Mo1 0.5000 0.5000 0.5000  4 Os 2.72
Os1 0.7500 0.7500 0.7500  4 Mo 2.72, 4 U 2.72

energy above the lowest structure with this stoichiometry: 0.0000 eV/atom
total DFT energy (no corrections): -10.5542 eV/atom
calculated formation energy: 1.7 eV/f.u.
total magnetic moment: 1.68 μB per formula unit
SG: No. 216

---

# Dy5Er2Mg

Crystalline Dy5Er2Mg at its relaxed geometry (PBE, the Open Quantum Materials Database).

a b c (Å): 5.5889 7.0871 7.0871
angles (deg): 60.04 90.00 90.00
Closest atoms and distances in Å follow each position.
Sites, in units of the cell vectors:
Dy1 0.0000 0.0000 0.0000  4 Er 3.44-3.55, 8 Dy 3.44-3.55
Dy2 0.0000 0.0012 0.5003  2 Mg 3.46, 4 Er 3.48-3.55, 6 Dy 3.48-3.55
Dy3 0.0000 0.5003 0.0012  2 Mg 3.46, 4 Er 3.48-3.55, 6 Dy 3.48-3.55
Dy4 0.5000 0.3281 0.8364  6 Dy 3.44-3.61, 4 Er 3.47-3.61, 2 Mg 3.54-3.55
Dy5 0.5000 0.8364 0.3281  6 Dy 3.44-3.61, 4 Er 3.47-3.61, 2 Mg 3.54-3.55
Er1 0.0000 0.5007 0.5007  2 Mg 3.46, 10 Dy 3.47-3.55
Er2 0.5000 0.8368 0.8368  10 Dy 3.44-3.61, 2 Mg 3.55
Mg1 0.5000 0.3340 0.3340  8 Dy 3.46-3.55, 4 Er 3.46-3.55

total DFT energy (no corrections): -4.1876 eV/atom
total magnetic moment: 0.21 μB per formula unit
SG: No. 38

---

# BiPt

Crystalline BiPt at its relaxed geometry (PBE, the Open Quantum Materials Database).

a b c (Å): 4.4034 4.4034 5.5932
angles (deg): 90.00 90.00 120.00
Closest atoms and distances in Å follow each position.
Sites, in units of the cell vectors:
Bi1 0.3333 0.6667 0.2500  6 Pt 2.90
Bi2 0.6667 0.3333 0.7500  6 Pt 2.90
Pt1 0.0000 0.0000 0.0000  2 Pt 2.80, 6 Bi 2.90
Pt2 0.0000 0.0000 0.5000  2 Pt 2.80, 6 Bi 2.90

total DFT energy (no corrections): -5.3371 eV/atom
total magnetic moment: 0.00 μB per formula unit
SG: No. 194

---

# TmNbGa

Crystalline TmNbGa at its relaxed geometry (PBE, the Open Quantum Materials Database).

a b c (Å): 4.7682 4.7682 4.7682
angles (deg): 60.00 60.00 60.00
Closest atoms and distances in Å follow each position.
Sites, in units of the cell vectors:
Tm1 0.0000 0.0000 0.0000  4 Nb 2.92, 4 Ga 2.92
Nb1 0.2500 0.2500 0.2500  4 Tm 2.92
Ga1 0.7500 0.7500 0.7500  4 Tm 2.92

energy above the lowest structure with this stoichiometry: 0.7137 eV/atom
total DFT energy (no corrections): -4.9915 eV/atom
total magnetic moment: 3.01 μB per formula unit
SG: No. 216

---

# TlCdRe

Crystalline TlCdRe at its relaxed geometry (PBE, the Open Quantum Materials Database).

a b c (Å): 4.6427 4.6427 4.6427
angles (deg): 60.00 60.00 60.00
Closest atoms and distances in Å follow each position.
Sites, in units of the cell vectors:
Tl1 0.0000 0.0000 0.0000  4 Re 2.84
Cd1 0.5000 0.5000 0.5000  4 Re 2.84
Re1 0.7500 0.7500 0.7500  4 Cd 2.84, 4 Tl 2.84

energy above the lowest structure with this stoichiometry: 0.0000 eV/atom
total DFT energy (no corrections): -4.0294 eV/atom
total magnetic moment: 1.96 μB per formula unit
SG: No. 216

---

# TlAgPd

Crystalline TlAgPd at its relaxed geometry (PBE, the Open Quantum Materials Database).

a b c (Å): 4.5368 4.5368 4.5368
angles (deg): 60.00 60.00 60.00
Closest atoms and distances in Å follow each position.
Sites, in units of the cell vectors:
Tl1 0.0000 0.0000 0.0000  4 Ag 2.78, 4 Pd 2.78
Ag1 0.7500 0.7500 0.7500  4 Tl 2.78
Pd1 0.2500 0.2500 0.2500  4 Tl 2.78

total DFT energy (no corrections): -3.2645 eV/atom
SG: No. 216

---

# SrCdSeO

Crystalline SrCdSeO at its relaxed geometry (PBE, the Open Quantum Materials Database).

a b c (Å): 5.0933 5.0933 7.8381
angles (deg): 90.00 90.00 90.00
Closest atoms and distances in Å follow each position.
Sites, in units of the cell vectors:
Sr1 0.2500 0.2500 0.1815  1 O 2.17
Sr2 0.7500 0.7500 0.8185  1 O 2.17
Cd1 0.2500 0.2500 0.6399  1 O 2.07
Cd2 0.7500 0.7500 0.3601  1 O 2.07
Se1 0.2500 0.7500 0.5000  4 Cd 2.77
Se2 0.7500 0.2500 0.5000  4 Cd 2.77
O1 0.2500 0.2500 0.9045  1 Cd 2.07, 1 Sr 2.17
O2 0.7500 0.7500 0.0955  1 Cd 2.07, 1 Sr 2.17

total DFT energy (no corrections): -4.0071 eV/atom
SG: No. 129

---

# MgTcPO

Crystalline MgTcPO at its relaxed geometry (PBE, the Open Quantum Materials Database).

a b c (Å): 4.0706 4.5821 5.7287
angles (deg): 90.00 90.00 90.00
Closest atoms and distances in Å follow each position.
Sites, in units of the cell vectors:
Mg1 0.0000 0.2111 0.0000  2 O 2.06-2.07
Mg2 0.0000 0.7889 0.5000  2 O 2.06-2.07
Tc1 0.5000 0.3760 0.3350  2 O 2.04
Tc2 0.5000 0.6240 0.8350  2 O 2.04
P1 0.5000 0.1276 0.6985  3 Tc 2.37-2.44
P2 0.5000 0.8724 0.1985  3 Tc 2.37-2.44
O1 0.0000 0.3917 0.3288  2 Tc 2.04, 2 Mg 2.06-2.07
O2 0.0000 0.6083 0.8288  2 Tc 2.04, 2 Mg 2.06-2.07

energy above the lowest structure with this stoichiometry: 0.2709 eV/atom
total DFT energy (no corrections): -6.4482 eV/atom
total magnetic moment: 0.08 μB per formula unit
SG: No. 26